The following is a DFT calculation (PBE) of a relaxed RbCa2GeRh crystal.

Results
Space group = P4/mmm
ΔE_f = -0.243 eV/atom
Total DFT energy (no corrections) = -3.631 eV per atom
Magnetic moment = 0.09 μB/atom

Structure (extended XYZ):
```
5
Lattice="-3.460 3.447 2.800 -3.782 -0.425 -4.150 -2.019 -3.841 2.234" Properties=species:S:1:pos:R:3 pbc="T T T"
Rh 0.000 0.000 0.000
Rb -4.631 -0.410 0.442
Ge -1.010 -1.921 1.117
Ca -1.891 -0.213 -2.075
Ca -1.730 1.724 1.400
```